This record from Alexandria via LeMat-Bulk describes crystalline Rb2H4I at its relaxed geometry. The functional is PBE.

abc: 7.002 7.002 12.357
angles: 90.00 90.00 90.00
Space group I4_1/amd (No. 141, origin choice 2)
Asymmetric unit:
Rb 0.000 0.000 0.000 [8 per cell]
H 0.000 0.069 0.223 [16 per cell]
I 0.000 0.250 0.375 [4 per cell]

Calculated values
As for the total energy: -1.914 eV/atom.

This record from Alexandria via LeMat-Bulk describes crystalline RbH3I at its relaxed geometry. The functional is PBE.

abc: 5.098 5.098 5.098
angles: 90.00 90.00 90.00
Space group Pm-3m (No. 221)
Asymmetric unit:
Rb 0.000 0.000 0.000 [1 per cell]
H 0.000 0.000 0.500 [3 per cell]
I 0.500 0.500 0.500 [1 per cell]

Calculated values
For the energy above the most stable polymorph in this dataset, the calculation gives 998.9 meV per atom.

This record from Alexandria via LeMat-Bulk describes crystalline Rb3H4I at its relaxed geometry. The functional is PBE.

abc: 22.152 4.855 5.620
angles: 90.00 104.32 90.00
Space group C2/m (No. 12)
Asymmetric unit:
Rb 0.000 0.000 0.000 [2 per cell]
Rb 0.182 0.000 0.684 [4 per cell]
H 0.093 0.500 0.990 [4 per cell]
H 0.113 0.500 0.120 [4 per cell]
I 0.000 0.500 0.500 [2 per cell]

Calculated values
As for the total energy: -2.539 eV/atom.

Listing total magnetization for the structures above in their given order: 3.87 3.00 0.00 μB/cell.